Record 1
UVReTc | GGA-PBE | optimized geometry

Cell lengths 6.428, 6.428, 6.428 Å; angles 90.00, 90.00, 90.00 degrees
Space group F-43m (No. 216)
Unique sites:
U1 0.000 0.000 0.000
V1 0.000 0.000 0.500
Re1 0.250 0.250 0.750
Tc1 0.250 0.250 0.250

## Properties
Formation energy in eV/atom: 0.0727

Record 2
TlSi2GeRh | GGA-PBE | optimized geometry

Cell lengths 4.544, 4.544, 5.511 Å; angles 90.00, 90.00, 90.00 degrees
Space group P4/mmm (No. 123)
Unique sites:
Tl1 0.000 0.000 0.000
Si1 0.000 0.500 0.500
Ge1 0.500 0.500 0.000
Rh1 0.000 0.000 0.500

## Properties
ΔE_f (raw) in eV/f.u.: 2.0

Record 3
AcZn6Rh2 | GGA-PBE | optimized geometry

Cell lengths 4.277, 6.817, 11.350 Å; angles 90.00, 90.00, 90.00 degrees
Space group Immm (No. 71)
Unique sites:
Ac1 0.000 0.000 0.000
Zn1 0.000 0.171 0.500
Zn2 0.000 0.196 0.287
Rh1 0.000 0.500 0.127

## Properties
Formation energy in eV/atom: -0.2126

no.,total DFT energy (no corrections) (eV per atom)
1,-10.73
2,-4.63
3,-3.15